1.
Compound: InHg2Pt
Source: the Alexandria database
Functional: GGA-PBE
Structure: optimized geometry

Results
For the formation energy, the calculation gives -0.06 eV/atom.

Unit cell a=2.9967 b=4.7720 c=12.9455 alpha=90.00 beta=90.00 gamma=90.00
Space group Imm2 (No. 44)
Inequivalent atoms, fractional coordinates:
1 In 0.0000 0.0000 0.0000 [2 per cell]
2 Hg 0.0000 0.0000 0.3831 [2 per cell]
3 Hg 0.0000 0.5000 0.1943 [2 per cell]
4 Pt 0.0000 0.5000 0.6836 [2 per cell]

=====

2.
Compound: InHgPt2
Source: the Alexandria database
Functional: GGA-PBE
Structure: optimized geometry

Results
For the formation energy, the calculation gives -0.18 eV/atom.

Unit cell a=5.9283 b=7.2858 c=3.3714 alpha=90.00 beta=90.00 gamma=90.00
Space group Cmmm (No. 65)
Inequivalent atoms, fractional coordinates:
1 In 0.0000 0.0000 0.0000 [2 per cell]
2 Hg 0.0000 0.5000 0.0000 [2 per cell]
3 Pt 0.2500 0.2500 0.5000 [4 per cell]

=====

3.
Compound: InHgPt2
Source: the Alexandria database
Functional: GGA-PBE
Structure: optimized geometry

Results
For the formation energy, the calculation gives -0.17 eV/atom.

Unit cell a=2.9963 b=4.8367 c=5.0128 alpha=90.00 beta=90.00 gamma=90.00
Space group Pmm2 (No. 25)
Inequivalent atoms, fractional coordinates:
1 In 0.0000 0.0000 0.0000 [1 per cell]
2 Hg 0.0000 0.5000 0.4188 [1 per cell]
3 Pt 0.5000 0.0000 0.5099 [1 per cell]
4 Pt 0.5000 0.5000 0.9135 [1 per cell]

=====

4.
Compound: In2HgPt
Source: the Alexandria database
Functional: GGA-PBE
Structure: optimized geometry

Results
For the formation energy, the calculation gives -0.13 eV/atom.

Unit cell a=8.8000 b=8.8000 c=5.4156 alpha=90.00 beta=90.00 gamma=90.00
Space group I-42d (No. 122)
Inequivalent atoms, fractional coordinates:
1 In 0.1614 0.2500 0.1250 [8 per cell]
2 Hg 0.0000 0.0000 0.5000 [4 per cell]
3 Pt 0.0000 0.0000 0.0000 [4 per cell]

=====

5.
Compound: PuInHgPt
Source: the Alexandria database
Functional: GGA-PBE
Structure: optimized geometry

Results
For the formation energy, the calculation gives -0.34 eV/atom.

Unit cell a=7.0873 b=7.0873 c=7.0873 alpha=90.00 beta=90.00 gamma=90.00
Space group F-43m (No. 216)
Inequivalent atoms, fractional coordinates:
1 Pu 0.0000 0.0000 0.0000 [4 per cell]
2 In 0.0000 0.0000 0.5000 [4 per cell]
3 Hg 0.2500 0.2500 0.7500 [4 per cell]
4 Pt 0.2500 0.2500 0.2500 [4 per cell]

=====

6.
Compound: Rb2InHgPt
Source: the Alexandria database
Functional: GGA-PBE
Structure: optimized geometry

Results
For the formation energy, the calculation gives -0.12 eV/atom.

Unit cell a=6.5086 b=6.5086 c=5.1858 alpha=90.00 beta=90.00 gamma=90.00
Space group P4/mmm (No. 123)
Inequivalent atoms, fractional coordinates:
1 Rb 0.0000 0.5000 0.0000 [2 per cell]
2 In 0.0000 0.0000 0.5000 [1 per cell]
3 Hg 0.5000 0.5000 0.5000 [1 per cell]
4 Pt 0.0000 0.0000 0.0000 [1 per cell]

=====

7.
Compound: In2ReHgPt
Source: the Alexandria database
Functional: GGA-PBE
Structure: optimized geometry

Results
For the formation energy, the calculation gives 1.06 eV/atom.

Unit cell a=5.1269 b=5.1269 c=5.2219 alpha=90.00 beta=90.00 gamma=90.00
Space group P4/mmm (No. 123)
Inequivalent atoms, fractional coordinates:
1 In 0.0000 0.5000 0.0000 [2 per cell]
2 Re 0.0000 0.0000 0.5000 [1 per cell]
3 Hg 0.5000 0.5000 0.5000 [1 per cell]
4 Pt 0.5000 0.5000 0.0000 [1 per cell]

=====

8.
Compound: Sc5In2HgPt2
Source: the Alexandria database
Functional: GGA-PBE
Structure: optimized geometry

Results
For the formation energy, the calculation gives -0.70 eV/atom.

Unit cell a=11.4106 b=11.4106 c=3.3995 alpha=90.00 beta=90.00 gamma=90.00
Space group P4/mbm (No. 127)
Inequivalent atoms, fractional coordinates:
1 Sc 0.0000 0.5000 0.0000 [2 per cell]
2 Sc 0.0725 0.2012 0.0000 [8 per cell]
3 In 0.1715 0.6715 0.5000 [4 per cell]
4 Hg 0.0000 0.0000 0.5000 [2 per cell]
5 Pt 0.1300 0.3700 0.5000 [4 per cell]

=====

9.
Compound: InHg2PtSe
Source: the Alexandria database
Functional: GGA-PBE
Structure: optimized geometry

Results
For the raw formation energy, the calculation gives 690 meV per atom.

Unit cell a=5.4235 b=5.4235 c=5.1168 alpha=90.00 beta=90.00 gamma=90.00
Space group P4/mmm (No. 123)
Inequivalent atoms, fractional coordinates:
1 In 0.0000 0.0000 0.0000 [1 per cell]
2 Hg 0.0000 0.5000 0.0000 [2 per cell]
3 Pt 0.0000 0.0000 0.5000 [1 per cell]
4 Se 0.5000 0.5000 0.5000 [1 per cell]

=====

10.
Compound: InHg2PtSe
Source: the Alexandria database
Functional: GGA-PBE
Structure: optimized geometry

Results
For the raw formation energy, the calculation gives 336 meV per atom.

Unit cell a=5.4828 b=5.4828 c=4.7893 alpha=90.00 beta=90.00 gamma=90.00
Space group P4/mmm (No. 123)
Inequivalent atoms, fractional coordinates:
1 In 0.0000 0.0000 0.0000 [1 per cell]
2 Hg 0.0000 0.5000 0.5000 [2 per cell]
3 Pt 0.5000 0.5000 0.0000 [1 per cell]
4 Se 0.5000 0.5000 0.5000 [1 per cell]

=====

11.
Compound: SmInHgPt
Source: the Alexandria database
Functional: GGA-PBE
Structure: optimized geometry

Results
For the formation energy, the calculation gives -0.61 eV/atom.

Unit cell a=7.0875 b=7.0875 c=7.0875 alpha=90.00 beta=90.00 gamma=90.00
Space group F-43m (No. 216)
Inequivalent atoms, fractional coordinates:
1 Sm 0.0000 0.0000 0.0000 [4 per cell]
2 In 0.0000 0.0000 0.5000 [4 per cell]
3 Hg 0.2500 0.2500 0.2500 [4 per cell]
4 Pt 0.2500 0.2500 0.7500 [4 per cell]

=====

12.
Compound: Sm4InHg2Pt
Source: the Alexandria database
Functional: GGA-PBE
Structure: optimized geometry

Results
For the formation energy, the calculation gives -0.64 eV/atom.

Unit cell a=5.3115 b=5.3115 c=25.7841 alpha=90.00 beta=90.00 gamma=120.00
Space group R-3m (No. 166, hexagonal axes)
Inequivalent atoms, fractional coordinates:
1 Sm 0.0000 0.0000 0.1145 [6 per cell]
2 Sm 0.0000 0.0000 0.3674 [6 per cell]
3 In 0.0000 0.0000 0.5000 [3 per cell]
4 Hg 0.0000 0.0000 0.2399 [6 per cell]
5 Pt 0.0000 0.0000 0.0000 [3 per cell]